No. 1
CaAc4Sm (PBE, relaxed); spin magnetization = 0.00 μB/cell; SG = No. 216; ΔE_f = 0.28 eV/atom; DFT total energy = -21.48 eV for the cell shown; ΔE to the lowest computed polymorph = 243 meV/atom
1.0
-0.522 -3.314 -6.469
6.034 -1.894 -3.621
1.804 -7.031 -0.649
Ac Ca Sm
4 1 1
direct
0.624 0.624 0.624 Ac
0.128 0.624 0.624 Ac
0.624 0.624 0.128 Ac
0.624 0.128 0.624 Ac
0.000 0.000 0.000 Ca
0.250 0.250 0.250 Sm

=====

No. 2
DyAlGeO5 (PBE, relaxed); spin magnetization = 0.00 μB/cell; SG = No. 15; ΔE_f (raw) = -2.693 eV per atom; DFT total energy = -118.60 eV for the cell shown
1.0
5.491 0.037 0.024
-1.568 5.262 0.024
-1.606 -2.170 6.355
O Al Dy Ge
10 2 2 2
direct
0.928 0.072 0.750 O
0.317 0.899 0.602 O
0.363 0.262 0.069 O
0.072 0.928 0.250 O
0.683 0.101 0.398 O
0.101 0.683 0.898 O
0.899 0.317 0.102 O
0.738 0.637 0.431 O
0.262 0.363 0.569 O
0.637 0.738 0.931 O
0.000 0.000 0.500 Al
0.000 0.000 0.000 Al
0.319 0.681 0.250 Dy
0.681 0.319 0.750 Dy
0.325 0.675 0.750 Ge
0.675 0.325 0.250 Ge

=====

No. 3
Rb2ICl7 (PBE, relaxed); spin magnetization = 0.00 μB/cell; SG = No. 15; ΔE_f (raw) = -0.801 eV per atom; DFT total energy = -48.84 eV for the cell shown
1.0
7.227 0.000 3.524
3.397 9.889 2.206
-0.140 -1.333 9.458
Cl I Rb
14 2 4
direct
0.880 0.000 0.326 Cl
0.670 0.748 0.432 Cl
0.206 0.500 0.174 Cl
0.120 0.000 0.674 Cl
0.363 0.750 0.250 Cl
0.254 0.792 0.967 Cl
0.150 0.248 0.932 Cl
0.746 0.208 0.033 Cl
0.850 0.752 0.068 Cl
0.013 0.708 0.533 Cl
0.987 0.292 0.467 Cl
0.794 0.500 0.826 Cl
0.637 0.250 0.750 Cl
0.330 0.252 0.568 Cl
0.043 0.750 0.250 I
0.957 0.250 0.750 I
0.754 0.465 0.222 Rb
0.246 0.535 0.778 Rb
0.441 0.035 0.278 Rb
0.559 0.965 0.722 Rb